Entry i
A geometry-optimized Al3Cu3Ni structure. Source: Alexandria, functional PBE-GGA.

## Properties
magnetic moment = 0.0 μB per formula unit
space group = Pmmn

a b c (Å): 2.7157 6.9211 9.9871
angles (deg): 90.00 90.00 90.00
Last column: nearest neighbours and their distance in Å.
Fractional coordinates of all 14 atoms:
1 Al 0.2500 0.0569 0.1099  2 Ni 2.48, 3 Cu 2.50-2.55, 5 Al 2.67-2.72
2 Al 0.2500 0.2500 0.4776  2 Ni 2.48, 6 Cu 2.56-2.57, 2 Al 2.72
3 Al 0.2500 0.4431 0.1099  2 Ni 2.48, 3 Cu 2.50-2.55, 5 Al 2.67-2.72
4 Al 0.7500 0.5569 0.8901  2 Ni 2.48, 3 Cu 2.50-2.55, 5 Al 2.67-2.72
5 Al 0.7500 0.7500 0.5224  2 Ni 2.48, 6 Cu 2.56-2.57, 2 Al 2.72
6 Al 0.7500 0.9431 0.8901  2 Ni 2.48, 3 Cu 2.50-2.55, 5 Al 2.67-2.72
7 Cu 0.2500 0.2500 0.8506  4 Al 2.55, 6 Cu 2.70-2.72
8 Cu 0.2500 0.5665 0.3453  4 Al 2.50-2.57, 5 Cu 2.54-2.72, 2 Ni 2.69
9 Cu 0.2500 0.9335 0.3453  4 Al 2.50-2.57, 5 Cu 2.54-2.72, 2 Ni 2.69
10 Cu 0.7500 0.0665 0.6547  4 Al 2.50-2.57, 5 Cu 2.54-2.72, 2 Ni 2.69
11 Cu 0.7500 0.4335 0.6547  4 Al 2.50-2.57, 5 Cu 2.54-2.72, 2 Ni 2.69
12 Cu 0.7500 0.7500 0.1494  4 Al 2.55, 6 Cu 2.70-2.72
13 Ni 0.2500 0.7500 0.7308  6 Al 2.48, 4 Cu 2.69, 2 Ni 2.72
14 Ni 0.7500 0.2500 0.2692  6 Al 2.48, 4 Cu 2.69, 2 Ni 2.72

=====

Entry ii
A geometry-optimized Al3Cu3Ni structure. Source: Alexandria, functional PBE-GGA.

## Properties
magnetic moment = 0.0 μB per formula unit
space group = P6_3/m

a b c (Å): 7.0039 7.0039 4.2272
angles (deg): 90.00 90.00 120.00
Last column: nearest neighbours and their distance in Å.
Fractional coordinates of all 14 atoms:
1 Al 0.0906 0.6317 0.2500  5 Cu 2.55-2.75, 3 Ni 2.64-2.65, 4 Al 2.67-2.76
2 Al 0.3683 0.4589 0.2500  5 Cu 2.55-2.75, 3 Ni 2.64-2.65, 4 Al 2.67-2.76
3 Al 0.4589 0.0906 0.7500  5 Cu 2.55-2.75, 3 Ni 2.64-2.65, 4 Al 2.67-2.76
4 Al 0.5411 0.9094 0.2500  5 Cu 2.55-2.75, 3 Ni 2.64-2.65, 4 Al 2.67-2.76
5 Al 0.6317 0.5411 0.7500  5 Cu 2.55-2.75, 3 Ni 2.64-2.65, 4 Al 2.67-2.76
6 Al 0.9094 0.3683 0.7500  5 Cu 2.55-2.75, 3 Ni 2.64-2.65, 4 Al 2.67-2.76
7 Cu 0.0476 0.8108 0.7500  5 Al 2.55-2.75, 6 Cu 2.60-2.63, 1 Ni 2.65
8 Cu 0.1892 0.2368 0.7500  5 Al 2.55-2.75, 6 Cu 2.60-2.63, 1 Ni 2.65
9 Cu 0.2368 0.0476 0.2500  5 Al 2.55-2.75, 6 Cu 2.60-2.63, 1 Ni 2.65
10 Cu 0.7632 0.9524 0.7500  5 Al 2.55-2.75, 6 Cu 2.60-2.63, 1 Ni 2.65
11 Cu 0.8108 0.7632 0.2500  5 Al 2.55-2.75, 6 Cu 2.60-2.63, 1 Ni 2.65
12 Cu 0.9524 0.1892 0.2500  5 Al 2.55-2.75, 6 Cu 2.60-2.63, 1 Ni 2.65
13 Ni 0.3333 0.6667 0.7500  9 Al 2.64-2.65, 3 Cu 2.65
14 Ni 0.6667 0.3333 0.2500  9 Al 2.64-2.65, 3 Cu 2.65

=====

The winner here is entry ii, beating the second structure by 7.0 kJ/mol of atoms.

=====

Entry i
A geometry-optimized Al3Cu3Ni structure. Source: Alexandria, functional PBE-GGA.

## Properties
magnetic moment = 0.0 μB per formula unit
space group = Pmmn

a b c (Å): 3.8625 5.2078 9.6533
angles (deg): 90.00 90.00 90.00
Last column: nearest neighbours and their distance in Å.
Fractional coordinates of all 14 atoms:
1 Al 0.2500 0.0069 0.1643  4 Cu 2.51-2.56, 2 Al 2.53-2.68, 2 Ni 2.68
2 Al 0.2500 0.2500 0.6731  7 Cu 2.53-2.71, 2 Ni 2.61, 4 Al 2.83
3 Al 0.2500 0.4931 0.1643  4 Cu 2.51-2.56, 2 Al 2.53-2.68, 2 Ni 2.68
4 Al 0.7500 0.5069 0.8357  4 Cu 2.51-2.56, 2 Al 2.53-2.68, 2 Ni 2.68
5 Al 0.7500 0.7500 0.3269  7 Cu 2.53-2.71, 2 Ni 2.61, 4 Al 2.83
6 Al 0.7500 0.9931 0.8357  4 Cu 2.51-2.56, 2 Al 2.53-2.68, 2 Ni 2.68
7 Cu 0.2500 0.0067 0.4251  4 Cu 2.41-2.67, 3 Al 2.52-2.53, 2 Ni 2.58
8 Cu 0.2500 0.2500 0.9398  7 Al 2.51-2.57
9 Cu 0.2500 0.4933 0.4251  4 Cu 2.41-2.67, 3 Al 2.52-2.53, 2 Ni 2.58
10 Cu 0.7500 0.5067 0.5749  4 Cu 2.41-2.67, 3 Al 2.52-2.53, 2 Ni 2.58
11 Cu 0.7500 0.7500 0.0602  7 Al 2.51-2.57
12 Cu 0.7500 0.9933 0.5749  4 Cu 2.41-2.67, 3 Al 2.52-2.53, 2 Ni 2.58
13 Ni 0.2500 0.7500 0.6949  4 Cu 2.58, 6 Al 2.61-2.68
14 Ni 0.7500 0.2500 0.3051  4 Cu 2.58, 6 Al 2.61-2.68

=====

Entry ii
A geometry-optimized Al3Cu3Ni structure. Source: Alexandria, functional PBE-GGA.

## Properties
magnetic moment = 0.0 μB per formula unit
space group = P6_3/m

a b c (Å): 6.9219 6.9219 4.4217
angles (deg): 90.00 90.00 120.00
Last column: nearest neighbours and their distance in Å.
Fractional coordinates of all 14 atoms:
1 Al 0.0625 0.2694 0.2500  1 Ni 2.43, 5 Cu 2.54-2.63
2 Al 0.2069 0.9375 0.2500  1 Ni 2.43, 5 Cu 2.54-2.63
3 Al 0.2694 0.2069 0.7500  1 Ni 2.43, 5 Cu 2.54-2.63
4 Al 0.7306 0.7931 0.2500  1 Ni 2.43, 5 Cu 2.54-2.63
5 Al 0.7931 0.0625 0.7500  1 Ni 2.43, 5 Cu 2.54-2.63
6 Al 0.9375 0.7306 0.7500  1 Ni 2.43, 5 Cu 2.54-2.63
7 Cu 0.1013 0.4738 0.7500  5 Al 2.54-2.63, 4 Cu 2.58-2.74, 3 Ni 2.66-2.67
8 Cu 0.3724 0.8987 0.7500  5 Al 2.54-2.63, 4 Cu 2.58-2.74, 3 Ni 2.66-2.67
9 Cu 0.4738 0.3724 0.2500  5 Al 2.54-2.63, 4 Cu 2.58-2.74, 3 Ni 2.66-2.67
10 Cu 0.5262 0.6276 0.7500  5 Al 2.54-2.63, 4 Cu 2.58-2.74, 3 Ni 2.66-2.67
11 Cu 0.6276 0.1013 0.2500  5 Al 2.54-2.63, 4 Cu 2.58-2.74, 3 Ni 2.66-2.67
12 Cu 0.8987 0.5262 0.2500  5 Al 2.54-2.63, 4 Cu 2.58-2.74, 3 Ni 2.66-2.67
13 Ni 0.3333 0.6667 0.2500  3 Al 2.43, 9 Cu 2.66-2.67
14 Ni 0.6667 0.3333 0.7500  3 Al 2.43, 9 Cu 2.66-2.67

=====

The winner here is entry ii, beating the second structure by 6.4 kJ/mol of atoms.

=====

Entry i
A geometry-optimized AlCu3Ni2 structure. Source: Alexandria, functional PBE-GGA.

## Properties
magnetic moment = 0.0 μB per formula unit
space group = P6/mmm

a b c (Å): 4.6513 4.6513 4.1503
angles (deg): 90.00 90.00 120.00
Last column: nearest neighbours and their distance in Å.
Fractional coordinates of all 6 atoms:
1 Al 0.0000 0.0000 0.0000  6 Ni 2.69
2 Cu 0.0000 0.5000 0.5000  4 Cu 2.33, 4 Ni 2.47
3 Cu 0.5000 0.0000 0.5000  4 Cu 2.33, 4 Ni 2.47
4 Cu 0.5000 0.5000 0.5000  4 Cu 2.33, 4 Ni 2.47
5 Ni 0.3333 0.6667 0.0000  6 Cu 2.47, 3 Al 2.69, 3 Ni 2.69
6 Ni 0.6667 0.3333 0.0000  6 Cu 2.47, 3 Al 2.69, 3 Ni 2.69

=====

Entry ii
A geometry-optimized AlCu3Ni2 structure. Source: Alexandria, functional PBE-GGA.

## Properties
magnetic moment = 0.0 μB per formula unit
space group = Cmmm

a b c (Å): 5.6428 5.6428 3.5606
angles (deg): 90.00 90.00 141.55
Last column: nearest neighbours and their distance in Å.
Fractional coordinates of all 6 atoms:
1 Al 0.0000 0.0000 0.0000  4 Ni 2.50, 8 Cu 2.57-2.59
2 Cu 0.3309 0.6691 0.0000  6 Ni 2.51-2.57, 4 Cu 2.53, 2 Al 2.59
3 Cu 0.5000 0.5000 0.5000  4 Cu 2.53, 4 Ni 2.56, 4 Al 2.57
4 Cu 0.6691 0.3309 0.0000  6 Ni 2.51-2.57, 4 Cu 2.53, 2 Al 2.59
5 Ni 0.1646 0.8354 0.5000  2 Al 2.50, 8 Cu 2.51-2.57, 2 Ni 2.60
6 Ni 0.8354 0.1646 0.5000  2 Al 2.50, 8 Cu 2.51-2.57, 2 Ni 2.60

=====

Entry iii
A geometry-optimized AlCu3Ni2 structure. Source: Alexandria, functional PBE-GGA.

## Properties
magnetic moment = 0.3 μB per formula unit
space group = P-3m1

a b c (Å): 5.1269 5.1269 6.2264
angles (deg): 90.00 90.00 120.00
Last column: nearest neighbours and their distance in Å.
Fractional coordinates of all 12 atoms:
1 Al 0.3333 0.6667 0.3195  3 Ni 2.48, 9 Cu 2.56-2.63
2 Al 0.6667 0.3333 0.6805  3 Ni 2.48, 9 Cu 2.56-2.63
3 Cu 0.1668 0.3336 0.6694  3 Ni 2.53-2.54, 6 Cu 2.56-2.58, 3 Al 2.56-2.63
4 Cu 0.1668 0.8332 0.6694  3 Ni 2.53-2.54, 6 Cu 2.56-2.58, 3 Al 2.56-2.63
5 Cu 0.3336 0.1668 0.3306  3 Ni 2.53-2.54, 6 Cu 2.56-2.58, 3 Al 2.56-2.63
6 Cu 0.6664 0.8332 0.6694  3 Ni 2.53-2.54, 6 Cu 2.56-2.58, 3 Al 2.56-2.63
7 Cu 0.8332 0.1668 0.3306  3 Ni 2.53-2.54, 6 Cu 2.56-2.58, 3 Al 2.56-2.63
8 Cu 0.8332 0.6664 0.3306  3 Ni 2.53-2.54, 6 Cu 2.56-2.58, 3 Al 2.56-2.63
9 Ni 0.0000 0.0000 0.0000  6 Cu 2.54, 6 Ni 2.56
10 Ni 0.0000 0.5000 0.0000  2 Al 2.48, 4 Cu 2.53, 6 Ni 2.56
11 Ni 0.5000 0.0000 0.0000  2 Al 2.48, 4 Cu 2.53, 6 Ni 2.56
12 Ni 0.5000 0.5000 0.0000  2 Al 2.48, 4 Cu 2.53, 6 Ni 2.56

=====

Entry iv
A geometry-optimized AlCu3Ni2 structure. Source: Alexandria, functional PBE-GGA.

## Properties
magnetic moment = 0.0 μB per formula unit
space group = P6_3/mmc

a b c (Å): 4.6783 4.6783 7.7833
angles (deg): 90.00 90.00 120.00
Last column: nearest neighbours and their distance in Å.
Fractional coordinates of all 12 atoms:
1 Al 0.0000 0.0000 0.0000  6 Cu 2.39
2 Al 0.0000 0.0000 0.5000  6 Cu 2.39
3 Cu 0.1705 0.3411 0.2500  4 Cu 2.28-2.39, 2 Al 2.39
4 Cu 0.1705 0.8295 0.2500  4 Cu 2.28-2.39, 2 Al 2.39
5 Cu 0.3411 0.1705 0.7500  4 Cu 2.28-2.39, 2 Al 2.39
6 Cu 0.6589 0.8295 0.2500  4 Cu 2.28-2.39, 2 Al 2.39
7 Cu 0.8295 0.1705 0.7500  4 Cu 2.28-2.39, 2 Al 2.39
8 Cu 0.8295 0.6589 0.7500  4 Cu 2.28-2.39, 2 Al 2.39
9 Ni 0.3333 0.6667 0.5611  3 Al 2.74, 9 Cu 2.76, 4 Ni 2.86-2.94
10 Ni 0.3333 0.6667 0.9389  3 Al 2.74, 9 Cu 2.76, 4 Ni 2.86-2.94
11 Ni 0.6667 0.3333 0.0611  3 Al 2.74, 9 Cu 2.76, 4 Ni 2.86-2.94
12 Ni 0.6667 0.3333 0.4389  3 Al 2.74, 9 Cu 2.76, 4 Ni 2.86-2.94

=====

The winner here is entry ii, beating the second structure by 3.7 kJ/mol of atoms.

=====

Entry i
A geometry-optimized Al2Cu2Ni structure. Source: Alexandria, functional PBE-GGA.

## Properties
magnetic moment = 0.0 μB per formula unit
space group = C2/c

a b c (Å): 4.8836 4.8836 6.9715
angles (deg): 112.51 112.51 57.31
Last column: nearest neighbours and their distance in Å.
Fractional coordinates of all 10 atoms:
1 Al 0.0470 0.3306 0.1412  6 Cu 2.48-2.77, 3 Ni 2.49-2.61, 2 Al 2.74
2 Al 0.3306 0.0470 0.6412  6 Cu 2.48-2.77, 3 Ni 2.49-2.61, 2 Al 2.74
3 Al 0.6694 0.9530 0.3588  6 Cu 2.48-2.77, 3 Ni 2.49-2.61, 2 Al 2.74
4 Al 0.9530 0.6694 0.8588  6 Cu 2.48-2.77, 3 Ni 2.49-2.61, 2 Al 2.74
5 Cu 0.2490 0.5471 0.5465  6 Al 2.48-2.77, 3 Cu 2.51-2.60, 3 Ni 2.64-2.72
6 Cu 0.4529 0.7510 0.9535  6 Al 2.48-2.77, 3 Cu 2.51-2.60, 3 Ni 2.64-2.72
7 Cu 0.5471 0.2490 0.0465  6 Al 2.48-2.77, 3 Cu 2.51-2.60, 3 Ni 2.64-2.72
8 Cu 0.7510 0.4529 0.4535  6 Al 2.48-2.77, 3 Cu 2.51-2.60, 3 Ni 2.64-2.72
9 Ni 0.1591 0.8409 0.2500  6 Al 2.49-2.61, 6 Cu 2.64-2.72
10 Ni 0.8409 0.1591 0.7500  6 Al 2.49-2.61, 6 Cu 2.64-2.72

=====

Entry ii
A geometry-optimized Al2Cu2Ni structure. Source: Alexandria, functional PBE-GGA.

## Properties
magnetic moment = 0.0 μB per formula unit
space group = I4/mmm

a b c (Å): 7.0656 7.0656 7.0656
angles (deg): 153.52 153.52 37.79
Last column: nearest neighbours and their distance in Å.
Fractional coordinates of all 5 atoms:
1 Al 0.0981 0.0981 0.0000  4 Cu 2.60, 1 Al 2.62, 4 Ni 2.64
2 Al 0.9019 0.9019 0.0000  4 Cu 2.60, 1 Al 2.62, 4 Ni 2.64
3 Cu 0.2500 0.7500 0.5000  4 Cu 2.29
4 Cu 0.7500 0.2500 0.5000  4 Cu 2.29
5 Ni 0.5000 0.5000 0.0000  8 Al 2.64

=====

Entry iii
A geometry-optimized Al2Cu2Ni structure. Source: Alexandria, functional PBE-GGA.

## Properties
magnetic moment = 0.0 μB per formula unit
space group = I4/mmm

a b c (Å): 5.9742 5.9742 5.9742
angles (deg): 143.99 143.99 51.84
Last column: nearest neighbours and their distance in Å.
Fractional coordinates of all 5 atoms:
1 Al 0.2500 0.7500 0.5000  4 Cu 2.42, 4 Al 2.61
2 Al 0.7500 0.2500 0.5000  4 Cu 2.42, 4 Al 2.61
3 Cu 0.1041 0.1041 0.0000  1 Cu 2.24, 4 Al 2.42
4 Cu 0.8959 0.8959 0.0000  1 Cu 2.24, 4 Al 2.42
5 Ni 0.5000 0.5000 0.0000  8 Cu 2.84

=====

Entry iv
A geometry-optimized Al2Cu2Ni structure. Source: Alexandria, functional PBE-GGA.

## Properties
magnetic moment = 0.0 μB per formula unit
space group = Cmmm

a b c (Å): 6.1871 6.1871 2.7662
angles (deg): 90.00 90.00 141.72
Last column: nearest neighbours and their distance in Å.
Fractional coordinates of all 5 atoms:
1 Al 0.1211 0.8789 0.0000  2 Ni 2.47, 6 Cu 2.56-2.67, 2 Al 2.77
2 Al 0.8789 0.1211 0.0000  2 Ni 2.47, 6 Cu 2.56-2.67, 2 Al 2.77
3 Cu 0.3164 0.6836 0.5000  2 Ni 2.55, 4 Cu 2.55-2.77, 6 Al 2.56-2.67
4 Cu 0.6836 0.3164 0.5000  2 Ni 2.55, 4 Cu 2.55-2.77, 6 Al 2.56-2.67
5 Ni 0.5000 0.5000 0.0000  4 Al 2.47, 4 Cu 2.55, 2 Ni 2.77

=====

The winner here is entry i, beating the second structure by 8.3 kJ/mol of atoms.